## CsMn2VF8 (PBE with a Hubbard U)

Data for an optimized crystal structure of CsMn2VF8.

Cell: 5.366 5.379 7.759 Å, 77.33 77.24 75.72°
Space group P-1 (No. 2)
One atom of each set of equivalent atoms:
Cs 0.000 0.000 0.000 (multiplicity 1)
Mn 0.451 0.451 0.229 (multiplicity 2)
V 0.000 0.000 0.500 (multiplicity 1)
F 0.207 0.765 0.682 (multiplicity 2)
F 0.236 0.793 0.317 (multiplicity 2)
F 0.237 0.238 0.442 (multiplicity 2)
F 0.348 0.348 0.009 (multiplicity 2)

## Properties
**Total DFT energy (no corrections)**: -5.9153 eV per atom
**Fermi-level density of states**: 0.000 states/eV/f.u.
**Spin magnetization**: 12.000 μB/f.u.